[1]
DFT (PBEsol) results for Sr2LaCo after structural relaxation.

Cell: 3.7554 4.0416 9.2160 Å, 102.70 90.00 90.00°
Closest atoms and distances in Å follow each position.
Positions (direct):
Co  0.0000  0.7387  0.6029  4 La 2.78, 1 Sr 3.07
La  0.5000  0.2584  0.6415  4 Co 2.78
Sr  0.0000  0.9107  0.9447  1 Co 3.07
Sr  0.5000  0.5922  0.3109  2 Co 3.23, 2 La 3.59-3.60

D(E_F) ... 0.8051 states/eV/atom
DFT total energy ... -4.065 eV/atom
Energy above the most stable polymorph in this dataset ... 0 meV/atom
Volume ... 136.5 Å³ per cell
Formation energy from the elements ... 0.50 eV per formula unit

[2]
DFT (PBEsol) results for Sr3LaCo after structural relaxation.

Cell: 5.7111 5.7111 5.7111 Å, 90.00 90.00 90.00°
Closest atoms and distances in Å follow each position.
Positions (direct):
Sr  0.0000  0.5000  0.0000  2 Co 2.86
Sr  0.0000  0.0000  0.5000  2 Co 2.86
Sr  0.5000  0.0000  0.0000  2 Co 2.86
Co  0.0000  0.0000  0.0000  6 Sr 2.86
La  0.5000  0.5000  0.5000  12 Sr 4.04

D(E_F) ... 1.3566 states/eV/atom
DFT total energy ... -3.281 eV/atom
Volume ... 186.3 Å³ per cell
Formation energy from the elements ... 2.20 eV per formula unit

[3]
DFT (PBEsol) results for SrLa3Co after structural relaxation.

Cell: 5.5224 5.5224 5.5224 Å, 90.00 90.00 90.00°
Closest atoms and distances in Å follow each position.
Positions (direct):
Sr  0.5000  0.5000  0.5000  12 La 3.90
Co  0.0000  0.0000  0.0000  6 La 2.76
La  0.0000  0.5000  0.0000  2 Co 2.76
La  0.0000  0.0000  0.5000  2 Co 2.76
La  0.5000  0.0000  0.0000  2 Co 2.76

D(E_F) ... 1.3803 states/eV/atom
DFT total energy ... -5.094 eV/atom
Volume ... 168.4 Å³ per cell
Formation energy from the elements ... 0.15 eV per formula unit

[4]
DFT (PBEsol) results for Sr2LaCo after structural relaxation.

Cell: 3.8020 3.8020 10.9317 Å, 79.99 79.99 60.00°
Closest atoms and distances in Å follow each position.
Positions (direct):
Co  0.5000  0.5000  0.5000  6 Sr 2.91
La  0.0000  0.0000  0.0000  6 La 3.80, 6 Sr 4.08
Sr  0.2263  0.2263  0.3212  3 Co 2.91
Sr  0.7737  0.7737  0.6788  3 Co 2.91

D(E_F) ... 1.3654 states/eV/atom
DFT total energy ... -3.661 eV/atom
Energy above the most stable polymorph in this dataset ... 405 meV/atom
Volume ... 134.1 Å³ per cell
Formation energy from the elements ... 2.12 eV per formula unit

[5]
DFT (PBEsol) results for SrLa2Co after structural relaxation.

Cell: 4.4599 4.4599 6.2546 Å, 110.89 110.89 90.00°
Closest atoms and distances in Å follow each position.
Positions (direct):
Co  0.2500  0.7500  0.5000  8 La 3.15-3.50, 4 Sr 3.50
La  0.0000  0.0000  0.0000  4 Sr 3.15, 4 La 3.50, 4 Co 3.50
La  0.7500  0.2500  0.5000  4 Co 3.15, 4 La 3.50, 4 Sr 3.50
Sr  0.5000  0.5000  0.0000  8 La 3.15-3.50, 4 Co 3.50

D(E_F) ... 1.1228 states/eV/atom
DFT total energy ... -4.547 eV/atom
Energy above the most stable polymorph in this dataset ... 552 meV/atom
Volume ... 107.4 Å³ per cell
Formation energy from the elements ... 2.08 eV per formula unit

[6]
DFT (PBEsol) results for LaTa2Co after structural relaxation.

Cell: 4.5802 4.5802 4.5802 Å, 60.00 60.00 60.00°
Closest atoms and distances in Å follow each position.
Positions (direct):
La  0.5000  0.5000  0.5000  8 Ta 2.80
Co  0.0000  0.0000  0.0000  8 Ta 2.80
Ta  0.2500  0.2500  0.2500  4 Co 2.80, 4 La 2.80
Ta  0.7500  0.7500  0.7500  4 Co 2.80, 4 La 2.80

D(E_F) ... 0.8969 states/eV/atom
DFT total energy ... -9.026 eV/atom
Volume ... 67.9 Å³ per cell
Formation energy from the elements ... 2.08 eV per formula unit

[7]
DFT (PBEsol) results for LaCoTc2 after structural relaxation.

Cell: 3.0996 4.9184 5.2935 Å, 117.68 107.02 90.00°
Closest atoms and distances in Å follow each position.
Positions (direct):
Co  0.4698  0.4698  0.9396  2 Tc 2.48
La  0.2483  0.7483  0.4966  8 Tc 2.91-3.12, 4 Co 2.91-3.14, 2 La 3.10
Tc  0.0310  0.0310  0.0620  2 Tc 2.49
Tc  0.7509  0.2509  0.5018  2 Co 2.48, 2 Tc 2.49

D(E_F) ... 1.2923 states/eV/atom
DFT total energy ... -8.324 eV/atom
Energy above the most stable polymorph in this dataset ... 207 meV/atom
Volume ... 67.4 Å³ per cell
Formation energy from the elements ... 2.32 eV per formula unit

[8]
DFT (PBEsol) results for LaCoTc2 after structural relaxation.

Cell: 4.1138 4.1138 4.5227 Å, 90.00 90.00 109.95°
Closest atoms and distances in Å follow each position.
Positions (direct):
Co  0.5000  0.5000  0.5000  2 La 2.36, 4 Tc 2.55
La  0.0000  0.0000  0.5000  2 Co 2.36
Tc  0.6747  0.3253  0.0000  3 Tc 2.35-2.57, 2 Co 2.55
Tc  0.3253  0.6747  0.0000  3 Tc 2.35-2.57, 2 Co 2.55

D(E_F) ... 1.1964 states/eV/atom
DFT total energy ... -8.531 eV/atom
Energy above the most stable polymorph in this dataset ... 0 meV/atom
Volume ... 71.9 Å³ per cell
Formation energy from the elements ... 1.49 eV per formula unit

[9]
DFT (PBEsol) results for LaCoTc2 after structural relaxation.

Cell: 4.4675 4.4675 4.4675 Å, 60.00 60.00 60.00°
Closest atoms and distances in Å follow each position.
Positions (direct):
Co  0.0000  0.0000  0.0000  8 Tc 2.74
Tc  0.2500  0.2500  0.2500  4 La 2.74, 4 Co 2.74
Tc  0.7500  0.7500  0.7500  4 Co 2.74, 4 La 2.74
La  0.5000  0.5000  0.5000  8 Tc 2.74

D(E_F) ... 1.2544 states/eV/atom
DFT total energy ... -8.293 eV/atom
Energy above the most stable polymorph in this dataset ... 238 meV/atom
Volume ... 63.1 Å³ per cell
Formation energy from the elements ... 2.44 eV per formula unit

[10]
DFT (PBEsol) results for La2CoTc after structural relaxation.

Cell: 3.4788 4.8991 4.8991 Å, 90.02 93.16 93.16°
Closest atoms and distances in Å follow each position.
Positions (direct):
Co  0.5000  0.0000  0.0000  8 La 2.93-3.08
La  0.0000  0.0000  0.5000  4 Co 2.93-3.08, 4 Tc 2.93-3.08
La  0.0000  0.5000  0.0000  4 Tc 2.93-3.08, 4 Co 2.93-3.08
Tc  0.5000  0.5000  0.5000  8 La 2.93-3.08

D(E_F) ... 1.1762 states/eV/atom
DFT total energy ... -7.126 eV/atom
Volume ... 83.2 Å³ per cell
Formation energy from the elements ... 1.19 eV per formula unit

[11]
DFT (PBEsol) results for LaCoTc2 after structural relaxation.

Cell: 3.2500 4.4465 4.4465 Å, 90.00 90.00 90.00°
Closest atoms and distances in Å follow each position.
Positions (direct):
Co  0.5000  0.5000  0.5000  8 Tc 2.75
La  0.5000  0.0000  0.0000  8 Tc 2.75
Tc  0.0000  0.0000  0.5000  4 La 2.75, 4 Co 2.75
Tc  0.0000  0.5000  0.0000  4 La 2.75, 4 Co 2.75

D(E_F) ... 1.6490 states/eV/atom
DFT total energy ... -8.176 eV/atom
Energy above the most stable polymorph in this dataset ... 355 meV/atom
Volume ... 64.3 Å³ per cell
Formation energy from the elements ... 2.91 eV per formula unit

[12]
DFT (PBEsol) results for LaCoTc2 after structural relaxation.

Cell: 3.0750 3.0758 7.1764 Å, 90.00 90.00 90.00°
Closest atoms and distances in Å follow each position.
Positions (direct):
Co  0.5000  0.5000  0.0000  8 Tc 2.48
La  0.5000  0.5000  0.5000  4 La 3.07-3.08, 8 Tc 3.23
Tc  0.0000  0.0000  0.8326  1 Tc 2.40, 4 Co 2.48
Tc  0.0000  0.0000  0.1674  1 Tc 2.40, 4 Co 2.48

D(E_F) ... 0.9780 states/eV/atom
DFT total energy ... -8.501 eV/atom
Energy above the most stable polymorph in this dataset ... 30 meV/atom
Volume ... 67.9 Å³ per cell
Formation energy from the elements ... 1.61 eV per formula unit

[13]
DFT (PBEsol) results for La2CoTe after structural relaxation.

Cell: 4.3234 4.3234 6.4345 Å, 90.00 90.00 90.00°
Closest atoms and distances in Å follow each position.
Positions (direct):
Co  0.5000  0.5000  0.9260  1 La 2.24
La  0.0000  0.0000  0.8965  4 Co 3.06, 2 Te 3.17-3.26
La  0.5000  0.5000  0.2742  1 Co 2.24
Te  0.0000  0.0000  0.4032  6 La 3.17-3.26

Formation energy (no corrections) ... -0.580 eV per atom
D(E_F) ... 0.5053 states/eV/atom
DFT total energy ... -6.069 eV/atom
Volume ... 120.3 Å³ per cell

[14]
DFT (PBEsol) results for La2CoTe after structural relaxation.

Cell: 4.1329 4.1329 7.8191 Å, 74.68 74.68 60.00°
Closest atoms and distances in Å follow each position.
Positions (direct):
Co  0.0000  0.0000  0.0000  6 La 2.84
La  0.2648  0.2648  0.2057  3 Co 2.84
La  0.7352  0.7352  0.7943  3 Co 2.84
Te  0.5000  0.5000  0.5000  6 La 3.24

Formation energy (no corrections) ... -0.682 eV per atom
D(E_F) ... 0.5748 states/eV/atom
DFT total energy ... -6.170 eV/atom
Volume ... 110.1 Å³ per cell

[15]
DFT (PBEsol) results for LaTiCo2 after structural relaxation.

Cell: 4.4961 4.4961 4.4961 Å, 60.00 60.00 60.00°
Closest atoms and distances in Å follow each position.
Positions (direct):
Ti  0.0000  0.0000  0.0000  8 Co 2.75
Co  0.2500  0.2500  0.2500  4 La 2.75, 4 Ti 2.75
Co  0.7500  0.7500  0.7500  4 La 2.75, 4 Ti 2.75
La  0.5000  0.5000  0.5000  8 Co 2.75

D(E_F) ... 0.9142 states/eV/atom
DFT total energy ... -7.169 eV/atom
Volume ... 64.3 Å³ per cell
Formation energy from the elements ... 0.47 eV per formula unit

[16]
DFT (PBEsol) results for LaTi3Co after structural relaxation.

Cell: 4.5970 4.5970 4.5970 Å, 90.00 90.00 90.00°
Closest atoms and distances in Å follow each position.
Positions (direct):
Ti  0.0000  0.5000  0.0000  2 Co 2.30
Ti  0.0000  0.0000  0.5000  2 Co 2.30
Ti  0.5000  0.0000  0.0000  2 Co 2.30
Co  0.0000  0.0000  0.0000  6 Ti 2.30
La  0.5000  0.5000  0.5000  12 Ti 3.25

D(E_F) ... 0.9951 states/eV/atom
DFT total energy ... -7.496 eV/atom
Volume ... 97.1 Å³ per cell
Formation energy from the elements ... 0.57 eV per formula unit

[17]
DFT (PBEsol) results for LaTl4Co after structural relaxation.

Cell: 6.0599 6.0599 6.0599 Å, 60.00 60.00 60.00°
Closest atoms and distances in Å follow each position.
Positions (direct):
Co  0.7500  0.7500  0.7500  12 Tl 3.55, 4 La 3.71
La  0.0000  0.0000  0.0000  12 Tl 3.55, 4 Co 3.71
Tl  0.3755  0.3755  0.3755  6 Tl 3.02-3.04
Tl  0.3755  0.3755  0.8734  6 Tl 3.02-3.04
Tl  0.8734  0.3755  0.3755  6 Tl 3.02-3.04
Tl  0.3755  0.8734  0.3755  6 Tl 3.02-3.04

D(E_F) ... 0.8700 states/eV/atom
DFT total energy ... -3.512 eV/atom
Volume ... 157.4 Å³ per cell
Formation energy from the elements ... 2.53 eV per formula unit

[18]
DFT (PBEsol) results for La4TlCo after structural relaxation.

Cell: 6.2538 6.2538 6.2538 Å, 60.00 60.00 60.00°
Closest atoms and distances in Å follow each position.
Positions (direct):
Co  0.0000  0.0000  0.0000  12 La 3.67, 4 Tl 3.83
La  0.3749  0.3749  0.3749  6 La 3.12-3.13
La  0.3749  0.3749  0.8754  6 La 3.12-3.13
La  0.8754  0.3749  0.3749  6 La 3.12-3.13
La  0.3749  0.8754  0.3749  6 La 3.12-3.13
Tl  0.7500  0.7500  0.7500  12 La 3.67, 4 Co 3.83

D(E_F) ... 1.6631 states/eV/atom
DFT total energy ... -4.694 eV/atom
Volume ... 172.9 Å³ per cell
Formation energy from the elements ... 3.59 eV per formula unit

[19]
DFT (PBEsol) results for LaTlCo after structural relaxation.

Cell: 4.8918 4.8918 4.8918 Å, 60.00 60.00 60.00°
Closest atoms and distances in Å follow each position.
Positions (direct):
Tl  0.0000  0.0000  0.0000  4 La 3.00
Co  0.5000  0.5000  0.5000  4 La 3.00
La  0.7500  0.7500  0.7500  4 Co 3.00, 4 Tl 3.00

D(E_F) ... 1.8950 states/eV/atom
DFT total energy ... -4.489 eV/atom
Volume ... 82.8 Å³ per cell
Formation energy from the elements ... 2.25 eV per formula unit

[20]
DFT (PBEsol) results for La2VCo16 after structural relaxation.

Cell: 6.2377 6.2377 6.2377 Å, 83.09 83.09 83.09°
Closest atoms and distances in Å follow each position.
Positions (direct):
La  0.6542  0.6542  0.6542  19 Co 2.97-3.22
La  0.3513  0.3513  0.3513  18 Co 2.95-3.26, 1 V 3.11
V  0.0926  0.0926  0.0926  1 Co 2.25
Co  0.3415  0.8563  0.3415  8 Co 2.36-2.55, 1 V 2.54
Co  0.3415  0.3415  0.8563  8 Co 2.36-2.55, 1 V 2.54
Co  0.8563  0.3415  0.3415  8 Co 2.36-2.55, 1 V 2.54
Co  0.6582  0.1440  0.6582  9 Co 2.36-2.56
Co  0.6582  0.6582  0.1440  9 Co 2.36-2.56
Co  0.1440  0.6582  0.6582  9 Co 2.36-2.56
Co  0.2862  0.9986  0.7125  8 Co 2.34-2.56
Co  0.7125  0.2862  0.9986  8 Co 2.34-2.56
Co  0.9986  0.7125  0.2862  8 Co 2.34-2.56
Co  0.2862  0.7125  0.9986  8 Co 2.34-2.56
Co  0.9986  0.2862  0.7125  8 Co 2.34-2.56
Co  0.7125  0.9986  0.2862  8 Co 2.34-2.56
Co  0.0003  0.5011  0.0003  9 Co 2.34-2.54, 1 V 2.56
Co  0.0003  0.0003  0.5011  9 Co 2.34-2.54, 1 V 2.56
Co  0.5011  0.0003  0.0003  9 Co 2.34-2.54, 1 V 2.56
Co  0.9056  0.9056  0.9056  1 V 2.25

D(E_F) ... 1.1426 states/eV/atom
DFT total energy ... -7.627 eV/atom
Volume ... 237.8 Å³ per cell
Formation energy from the elements ... -0.79 eV per formula unit

no.,M_tot (μB/atom)
1,0.0001
2,0.0106
3,0.0000
4,0.3302
5,0.0025
6,0.0000
7,0.2483
8,0.0001
9,0.6972
10,0.1253
11,0.5574
12,0.2016
13,0.0000
14,0.0000
15,0.0000
16,0.0001
17,0.3041
18,0.2747
19,0.3201
20,1.0241